# 1
First-principles (GGA-PBE) data for a relaxed structure of YHfTc2, as listed in Alexandria via LeMat-Bulk.

- N(E_F): 8.408 states/eV per cell
- Space-group type: I-42d
- Energy: -8.76 eV per atom

Cell: 7.3846 7.3846 5.9910 Å, 51.95 51.95 90.00°
Closest atoms and distances in Å follow each position.
Fractional coordinates of all 8 atoms:
Y: 0.5000 0.5000 0.0000  4 Tc 2.81, 2 Hf 2.94
Y: 0.2500 0.7500 0.5000  4 Tc 2.81, 2 Hf 2.94
Hf: 0.0000 0.0000 0.0000  4 Tc 2.62
Hf: 0.7500 0.2500 0.5000  4 Tc 2.62
Tc: 0.6435 0.1250 0.2500  2 Hf 2.62, 2 Y 2.81
Tc: 0.1065 0.6250 0.2500  2 Hf 2.62, 2 Y 2.81
Tc: 0.3750 0.3565 0.7500  2 Hf 2.62, 2 Y 2.81
Tc: 0.8750 0.8935 0.7500  2 Hf 2.62, 2 Y 2.81


# 2
First-principles (GGA-PBE) data for a relaxed structure of Y3HfTc, as listed in Alexandria via LeMat-Bulk.

- N(E_F): 7.837 states/eV per cell
- Relative energy among the computed polymorphs: 4.33 eV/f.u.
- Space-group type: Pm-3m

Cell: 5.4590 5.4590 5.4590 Å, 90.00 90.00 90.00°
Closest atoms and distances in Å follow each position.
Fractional coordinates of all 5 atoms:
Y: 0.0000 0.5000 0.0000  2 Hf 2.73
Y: 0.0000 0.0000 0.5000  2 Hf 2.73
Y: 0.5000 0.0000 0.0000  2 Hf 2.73
Hf: 0.0000 0.0000 0.0000  6 Y 2.73
Tc: 0.5000 0.5000 0.5000  12 Y 3.86


# 3
First-principles (GGA-PBE) data for a relaxed structure of YHfTc2, as listed in Alexandria via LeMat-Bulk.

- N(E_F): 6.541 states/eV per cell
- Space-group type: P4/mmm
- Energy: -9.40 eV per atom

Cell: 3.3359 3.3359 6.7938 Å, 90.00 90.00 90.00°
Closest atoms and distances in Å follow each position.
Fractional coordinates of all 4 atoms:
Y: 0.5000 0.5000 0.5000  8 Tc 3.01, 4 Y 3.34
Hf: 0.5000 0.5000 0.0000  8 Tc 2.81
Tc: 0.0000 0.0000 0.7748  4 Hf 2.81, 4 Y 3.01, 1 Tc 3.06
Tc: 0.0000 0.0000 0.2252  4 Hf 2.81, 4 Y 3.01, 1 Tc 3.06


# 4
First-principles (GGA-PBE) data for a relaxed structure of YHfTc3, as listed in Alexandria via LeMat-Bulk.

- N(E_F): 7.768 states/eV per cell
- Relative energy among the computed polymorphs: 0.00 eV/f.u.
- Space-group type: Pm-3m

Cell: 4.8136 4.8136 4.8136 Å, 90.00 90.00 90.00°
Closest atoms and distances in Å follow each position.
Fractional coordinates of all 5 atoms:
Y: 0.5000 0.5000 0.5000  12 Tc 3.40
Hf: 0.0000 0.0000 0.0000  6 Tc 2.41
Tc: 0.0000 0.5000 0.0000  2 Hf 2.41
Tc: 0.0000 0.0000 0.5000  2 Hf 2.41
Tc: 0.5000 0.0000 0.0000  2 Hf 2.41


# 5
First-principles (GGA-PBE) data for a relaxed structure of YHf2Tc, as listed in Alexandria via LeMat-Bulk.

- N(E_F): 4.726 states/eV per cell
- Relative energy among the computed polymorphs: 0.00 eV/f.u.
- Space-group type: P4/mmm

Cell: 3.3127 3.3127 8.1273 Å, 90.00 90.00 90.00°
Closest atoms and distances in Å follow each position.
Fractional coordinates of all 4 atoms:
Y: 0.5000 0.5000 0.5000  4 Y 3.31, 8 Hf 3.45
Hf: 0.0000 0.0000 0.8117  4 Tc 2.80, 1 Hf 3.06
Hf: 0.0000 0.0000 0.1883  4 Tc 2.80, 1 Hf 3.06
Tc: 0.5000 0.5000 0.0000  8 Hf 2.80


# 6
First-principles (GGA-PBE) data for a relaxed structure of Y2Hf2Tc, as listed in Alexandria via LeMat-Bulk.

- N(E_F): 15.034 states/eV per cell
- Space-group type: P4/mbm
- Energy: -8.58 eV per atom

Cell: 6.7884 6.7884 5.3493 Å, 90.00 90.00 90.00°
Closest atoms and distances in Å follow each position.
Fractional coordinates of all 10 atoms:
Y: 0.1717 0.6717 0.5000  6 Hf 3.16-3.46, 1 Y 3.30
Y: 0.6717 0.8283 0.5000  6 Hf 3.16-3.46, 1 Y 3.30
Y: 0.8283 0.3283 0.5000  6 Hf 3.16-3.46, 1 Y 3.30
Y: 0.3283 0.1717 0.5000  6 Hf 3.16-3.46, 1 Y 3.30
Hf: 0.3478 0.8478 0.0000  2 Tc 2.58
Hf: 0.8478 0.6522 0.0000  2 Tc 2.58
Hf: 0.6522 0.1522 0.0000  2 Tc 2.58
Hf: 0.1522 0.3478 0.0000  2 Tc 2.58
Tc: 0.0000 0.0000 0.0000  4 Hf 2.58
Tc: 0.5000 0.5000 0.0000  4 Hf 2.58


# 7
First-principles (GGA-PBE) data for a relaxed structure of YHf2Tc, as listed in Alexandria via LeMat-Bulk.

- N(E_F): 6.427 states/eV per cell
- Relative energy among the computed polymorphs: 2.90 eV/f.u.
- Space-group type: I-42d

Cell: 4.2060 4.2060 10.6643 Å, 78.63 78.63 90.00°
Closest atoms and distances in Å follow each position.
Fractional coordinates of all 8 atoms:
Y: 0.5000 0.5000 0.0000  4 Tc 2.97, 4 Hf 2.99
Y: 0.2500 0.7500 0.5000  4 Tc 2.97, 4 Hf 2.99
Hf: 0.6425 0.1250 0.2500  4 Hf 2.87-3.08, 2 Tc 2.94, 2 Y 2.99
Hf: 0.1075 0.6250 0.2500  4 Hf 2.87-3.08, 2 Tc 2.94, 2 Y 2.99
Hf: 0.3750 0.3575 0.7500  4 Hf 2.87-3.08, 2 Tc 2.94, 2 Y 2.99
Hf: 0.8750 0.8925 0.7500  4 Hf 2.87-3.08, 2 Tc 2.94, 2 Y 2.99
Tc: 0.0000 0.0000 0.0000  4 Hf 2.94, 4 Y 2.97
Tc: 0.7500 0.2500 0.5000  4 Hf 2.94, 4 Y 2.97


# 8
First-principles (GGA-PBE) data for a relaxed structure of YHf2Tc2, as listed in Alexandria via LeMat-Bulk.

- N(E_F): 5.156 states/eV per cell
- Relative energy among the computed polymorphs: 1.93 eV/f.u.
- Space-group type: I4/mmm

Cell: 4.4962 4.4962 6.3037 Å, 69.11 69.11 90.00°
Closest atoms and distances in Å follow each position.
Fractional coordinates of all 5 atoms:
Y: 0.0000 0.0000 0.0000  8 Hf 3.49, 8 Tc 3.53
Hf: 0.3673 0.3673 0.2653  4 Tc 2.59, 1 Hf 2.89
Hf: 0.6327 0.6327 0.7347  4 Tc 2.59, 1 Hf 2.89
Tc: 0.7500 0.2500 0.5000  4 Hf 2.59
Tc: 0.2500 0.7500 0.5000  4 Hf 2.59


# 9
First-principles (GGA-PBE) data for a relaxed structure of YHf2Tc2, as listed in Alexandria via LeMat-Bulk.

- N(E_F): 8.684 states/eV per cell
- Relative energy among the computed polymorphs: 0.00 eV/f.u.
- Space-group type: P4/mbm

Cell: 7.8018 7.8018 3.3070 Å, 90.00 90.00 90.00°
Closest atoms and distances in Å follow each position.
Fractional coordinates of all 10 atoms:
Y: 0.0000 0.0000 0.0000  4 Tc 2.97, 2 Y 3.31
Y: 0.5000 0.5000 0.0000  4 Tc 2.97, 2 Y 3.31
Hf: 0.1436 0.6436 0.5000  6 Tc 2.82
Hf: 0.6436 0.8564 0.5000  6 Tc 2.82
Hf: 0.8564 0.3564 0.5000  6 Tc 2.82
Hf: 0.3564 0.1436 0.5000  6 Tc 2.82
Tc: 0.3507 0.8507 0.0000  6 Hf 2.82, 2 Y 2.97
Tc: 0.8507 0.6493 0.0000  6 Hf 2.82, 2 Y 2.97
Tc: 0.6493 0.1493 0.0000  6 Hf 2.82, 2 Y 2.97
Tc: 0.1493 0.3507 0.0000  6 Hf 2.82, 2 Y 2.97


# 10
First-principles (GGA-PBE) data for a relaxed structure of YHf2Tc2, as listed in Alexandria via LeMat-Bulk.

- N(E_F): 3.979 states/eV per cell
- Relative energy among the computed polymorphs: 0.33 eV/f.u.
- Space-group type: I4/mmm

Cell: 4.3343 4.3343 6.5389 Å, 70.64 70.64 90.00°
Closest atoms and distances in Å follow each position.
Fractional coordinates of all 5 atoms:
Y: 0.0000 0.0000 0.0000  8 Tc 3.31, 8 Hf 3.61
Hf: 0.7500 0.2500 0.5000  4 Tc 2.72
Hf: 0.2500 0.7500 0.5000  4 Tc 2.72
Tc: 0.3928 0.3928 0.2145  1 Tc 2.48, 4 Hf 2.72
Tc: 0.6072 0.6072 0.7855  1 Tc 2.48, 4 Hf 2.72


# 11
First-principles (GGA-PBE) data for a relaxed structure of YHfTc4, as listed in Alexandria via LeMat-Bulk.

- N(E_F): 10.349 states/eV per cell
- Space-group type: F-43m
- Energy: -9.85 eV per atom

Cell: 5.3274 5.3274 5.3274 Å, 60.00 60.00 60.00°
Closest atoms and distances in Å follow each position.
Fractional coordinates of all 6 atoms:
Y: 0.2500 0.2500 0.2500  12 Tc 3.12, 4 Hf 3.26
Hf: 0.0000 0.0000 0.0000  12 Tc 3.12, 4 Y 3.26
Tc: 0.6254 0.6254 0.1239  6 Tc 2.66-2.67
Tc: 0.6254 0.1239 0.6254  6 Tc 2.66-2.67
Tc: 0.6254 0.6254 0.6254  6 Tc 2.66-2.67
Tc: 0.1239 0.6254 0.6254  6 Tc 2.66-2.67


# 12
First-principles (GGA-PBE) data for a relaxed structure of YHf2Tc, as listed in Alexandria via LeMat-Bulk.

- N(E_F): 5.939 states/eV per cell
- Relative energy among the computed polymorphs: 1.13 eV/f.u.
- Space-group type: Fm-3m

Cell: 4.8905 4.8905 4.8905 Å, 60.00 60.00 60.00°
Closest atoms and distances in Å follow each position.
Fractional coordinates of all 4 atoms:
Y: 0.0000 0.0000 0.0000  8 Hf 2.99
Hf: 0.2500 0.2500 0.2500  4 Tc 2.99, 4 Y 2.99
Hf: 0.7500 0.7500 0.7500  4 Tc 2.99, 4 Y 2.99
Tc: 0.5000 0.5000 0.5000  8 Hf 2.99


Q: Which value of N(E_F) does entry 8 give?
A: 5.156 states/eV per cell


Q: Number 3 is which compound?
A: YHfTc2


Q: Which of these has the highest N(E_F)?
A: Y2Hf2Tc